a) Here is an optimized crystal structure of FeNiAs2 from OQMD via LeMat-Bulk. Energies are from GGA-PBE.

Cell: 5.6312 3.3816 11.9499 Å, 90.00 90.00 90.00°
With the nearest neighbours (Å) after each atom.
Atoms (fractional coordinates):
Fe (0.0067, 0.2500, 0.1625)  7 As 2.52-2.60
Fe (0.4933, 0.7500, 0.6625)  7 As 2.52-2.60
Fe (0.5067, 0.2500, 0.3375)  7 As 2.52-2.60
Fe (0.9933, 0.7500, 0.8375)  7 As 2.52-2.60
Ni (0.0163, 0.2500, 0.4102)  5 As 2.38-2.44
Ni (0.4837, 0.7500, 0.9102)  5 As 2.38-2.44
Ni (0.5163, 0.2500, 0.0898)  5 As 2.38-2.44
Ni (0.9837, 0.7500, 0.5898)  5 As 2.38-2.44
As (0.1634, 0.2500, 0.7024)  2 Ni 2.39, 4 Fe 2.53-2.56
As (0.1912, 0.2500, 0.9626)  3 Ni 2.38-2.44, 3 Fe 2.52-2.60
As (0.3088, 0.7500, 0.4626)  3 Ni 2.38-2.44, 3 Fe 2.52-2.60
As (0.3366, 0.7500, 0.2024)  2 Ni 2.39, 4 Fe 2.53-2.56
As (0.6634, 0.2500, 0.7976)  2 Ni 2.39, 4 Fe 2.53-2.56
As (0.6912, 0.2500, 0.5374)  3 Ni 2.38-2.44, 3 Fe 2.52-2.60
As (0.8088, 0.7500, 0.0374)  3 Ni 2.38-2.44, 3 Fe 2.52-2.60
As (0.8366, 0.7500, 0.2976)  2 Ni 2.39, 4 Fe 2.53-2.56

Results
Crystal system ... orthorhombic
Space group ... Pnma


b) Here is an optimized crystal structure of FeNiAs2 from OQMD via LeMat-Bulk. Energies are from GGA-PBE.

Cell: 6.4078 6.4078 6.4078 Å, 131.16 131.16 71.56°
With the nearest neighbours (Å) after each atom.
Atoms (fractional coordinates):
Fe (0.0000, 0.0000, 0.0000)  4 As 2.25
Fe (0.7500, 0.2500, 0.5000)  4 As 2.25
Ni (0.2500, 0.7500, 0.5000)  4 As 2.31
Ni (0.5000, 0.5000, 0.0000)  4 As 2.31
As (0.1168, 0.1250, 0.4918)  2 Fe 2.25, 2 Ni 2.31
As (0.3750, 0.8832, 0.0082)  2 Fe 2.25, 2 Ni 2.31
As (0.6332, 0.6250, 0.5082)  2 Fe 2.25, 2 Ni 2.31
As (0.8750, 0.3668, 0.9918)  2 Fe 2.25, 2 Ni 2.31

Results
Crystal system ... tetragonal
Space group ... I-42d


Result of the stability comparison: a) is the most stable of them.


a) Here is an optimized crystal structure of ScFeAsOs from OQMD via LeMat-Bulk. Energies are from GGA-PBE.

Cell: 4.4601 4.4601 4.4601 Å, 60.00 60.00 60.00°
With the nearest neighbours (Å) after each atom.
Atoms (fractional coordinates):
Sc (0.0000, 0.0000, 0.0000)  4 As 2.73, 4 Os 2.73
Fe (0.5000, 0.5000, 0.5000)  4 Os 2.73, 4 As 2.73
As (0.2500, 0.2500, 0.2500)  4 Fe 2.73, 4 Sc 2.73
Os (0.7500, 0.7500, 0.7500)  4 Sc 2.73, 4 Fe 2.73

Results
Crystal system ... cubic
Space group ... F-43m


b) Here is an optimized crystal structure of ScFeAsOs from OQMD via LeMat-Bulk. Energies are from GGA-PBE.

Cell: 4.3093 4.3093 4.3093 Å, 60.00 60.00 60.00°
With the nearest neighbours (Å) after each atom.
Atoms (fractional coordinates):
Sc (0.0000, 0.0000, 0.0000)  4 Fe 2.64, 4 Os 2.64
Fe (0.7500, 0.7500, 0.7500)  4 As 2.64, 4 Sc 2.64
As (0.5000, 0.5000, 0.5000)  4 Fe 2.64, 4 Os 2.64
Os (0.2500, 0.2500, 0.2500)  4 As 2.64, 4 Sc 2.64

Results
Crystal system ... cubic
Space group ... F-43m


Result of the stability comparison: b) is the most stable of them.


a) Here is an optimized crystal structure of FeAsPdW from OQMD via LeMat-Bulk. Energies are from GGA-PBE.

Cell: 4.3499 4.3499 4.3499 Å, 60.00 60.00 60.00°
With the nearest neighbours (Å) after each atom.
Atoms (fractional coordinates):
Fe (0.0000, 0.0000, 0.0000)  4 As 2.66, 4 Pd 2.66
As (0.7500, 0.7500, 0.7500)  4 W 2.66, 4 Fe 2.66
Pd (0.2500, 0.2500, 0.2500)  4 W 2.66, 4 Fe 2.66
W (0.5000, 0.5000, 0.5000)  4 As 2.66, 4 Pd 2.66

Results
Crystal system ... cubic
Space group ... F-43m


b) Here is an optimized crystal structure of FeAsPdW from OQMD via LeMat-Bulk. Energies are from GGA-PBE.

Cell: 4.3892 4.3892 4.3892 Å, 60.00 60.00 60.00°
With the nearest neighbours (Å) after each atom.
Atoms (fractional coordinates):
Fe (0.0000, 0.0000, 0.0000)  4 As 2.69, 4 W 2.69
As (0.7500, 0.7500, 0.7500)  4 Fe 2.69, 4 Pd 2.69
Pd (0.5000, 0.5000, 0.5000)  4 As 2.69, 4 W 2.69
W (0.2500, 0.2500, 0.2500)  4 Fe 2.69, 4 Pd 2.69

Results
Crystal system ... cubic
Space group ... F-43m


Result of the stability comparison: a) is the most stable of them.